{"formula": "HoEr4Au2", "functional": "PBE-GGA", "state": "relaxed", "lattice_angstrom": [[-2.939, -2.299, -3.177], [1.178, -4.466, -1.638], [-5.579, -6.353, 5.979]], "species": ["Au", "Er", "Er", "Au", "Er", "Ho", "Er"], "fractional_positions": [[0.601, 0.601, 0.196], [0.101, 0.101, 0.696], [0.701, 0.701, 0.896], [0.399, 0.399, 0.804], [0.899, 0.899, 0.304], [0.500, 0.500, 0.500], [0.299, 0.299, 0.104]], "mass_density_g_cm3": 9.843, "vol_a3_per_atom": 29.6, "e_form_ev_per_atom": -0.275, "dos_at_fermi_per_ev_cell": 8.43}

{"formula": "Ho2Er2Au3", "functional": "PBE-GGA", "state": "relaxed", "lattice_angstrom": [[-2.471, -1.472, -4.082], [2.281, -3.373, 2.890], [-6.005, 1.276, 6.229]], "species": ["Au", "Er", "Ho", "Au", "Er", "Ho", "Au"], "fractional_positions": [[0.488, 0.244, 0.733], [0.250, 0.625, 0.875], [0.750, 0.875, 0.626], [0.512, 0.756, 0.267], [0.750, 0.375, 0.125], [0.250, 0.125, 0.374], [0.000, 0.000, 0.000]], "mass_density_g_cm3": 11.693, "vol_a3_per_atom": 25.5, "e_form_ev_per_atom": -0.705, "dos_at_fermi_per_ev_cell": 4.87}

{"formula": "HoErAu", "functional": "PBE-GGA", "state": "relaxed", "lattice_angstrom": [[4.806, -0.150, -1.260], [-2.543, 4.252, -0.397], [-0.468, 0.457, 7.948]], "species": ["Ho", "Au", "Ho", "Er", "Er", "Au"], "fractional_positions": [[0.720, 0.993, 0.713], [0.152, 0.709, 0.861], [0.046, 0.156, 0.202], [0.560, 0.413, 0.973], [0.886, 0.576, 0.462], [0.455, 0.860, 0.315]], "mass_density_g_cm3": 11.040, "vol_a3_per_atom": 26.5, "e_form_ev_per_atom": -0.479, "dos_at_fermi_per_ev_cell": 5.55}

{"formula": "HoEr3Au2", "functional": "PBE-GGA", "state": "relaxed", "lattice_angstrom": [[-6.755, 1.730, 0.336], [-1.617, -6.725, 2.103], [4.991, 4.363, 5.365]], "species": ["Er", "Er", "Er", "Ho", "Er", "Au", "Au", "Au", "Au", "Er", "Ho", "Er"], "fractional_positions": [[0.233, 0.983, 0.466], [0.767, 0.517, 0.534], [0.233, 0.483, 0.466], [0.000, 0.000, 0.000], [0.500, 0.750, 0.000], [0.436, 0.642, 0.283], [0.153, 0.858, 0.717], [0.564, 0.358, 0.717], [0.847, 0.142, 0.283], [0.767, 0.017, 0.534], [0.000, 0.500, 0.000], [0.500, 0.250, 0.000]], "mass_density_g_cm3": 10.129, "vol_a3_per_atom": 29.0, "e_form_ev_per_atom": -0.470, "dos_at_fermi_per_ev_cell": 15.73}

{"formula": "HoErAu", "functional": "PBE-GGA", "state": "relaxed", "lattice_angstrom": [[-2.222, -3.963, -5.498], [-0.676, -5.406, 4.170], [-6.415, 1.877, 1.240]], "species": ["Er", "Er", "Au", "Ho", "Au", "Au", "Er", "Ho", "Au", "Ho", "Er", "Ho"], "fractional_positions": [[0.089, 0.114, 0.751], [0.589, 0.886, 0.749], [0.038, 0.279, 0.245], [0.248, 0.557, 0.501], [0.462, 0.279, 0.745], [0.538, 0.721, 0.255], [0.411, 0.114, 0.251], [0.752, 0.443, 0.499], [0.962, 0.721, 0.755], [0.748, 0.443, 0.999], [0.911, 0.886, 0.249], [0.252, 0.557, 0.001]], "mass_density_g_cm3": 10.566, "vol_a3_per_atom": 27.7, "e_form_ev_per_atom": -0.545, "dos_at_fermi_per_ev_cell": 15.16}

{"formula": "Ho3Er2Au2", "functional": "PBE-GGA", "state": "relaxed", "lattice_angstrom": [[-0.862, -3.300, -1.384], [4.844, -1.019, 4.308], [-8.277, 0.604, 3.718]], "species": ["Ho", "Er", "Er", "Ho", "Au", "Ho", "Au"], "fractional_positions": [[0.500, 0.000, 0.000], [0.151, 0.303, 0.812], [0.849, 0.697, 0.188], [0.613, 0.226, 0.443], [0.174, 0.347, 0.228], [0.387, 0.774, 0.557], [0.826, 0.653, 0.772]], "mass_density_g_cm3": 10.677, "vol_a3_per_atom": 27.2, "e_form_ev_per_atom": -0.504, "dos_at_fermi_per_ev_cell": 9.70}

{"formula": "Ho5ErAu6", "functional": "PBE-GGA", "state": "relaxed", "lattice_angstrom": [[4.868, 0.000, -1.362], [-3.646, 7.093, -3.678], [-0.178, -1.028, 8.721]], "species": ["Ho", "Er", "Au", "Ho", "Au", "Ho", "Ho", "Au", "Au", "Au", "Ho", "Au"], "fractional_positions": [[0.000, 0.334, 0.666], [0.000, 0.000, 0.000], [0.751, 0.585, 0.917], [0.000, 0.666, 0.334], [0.249, 0.415, 0.083], [0.500, 0.833, 0.167], [0.500, 0.500, 0.500], [0.751, 0.917, 0.585], [0.748, 0.248, 0.248], [0.252, 0.752, 0.752], [0.500, 0.167, 0.833], [0.249, 0.083, 0.415]], "mass_density_g_cm3": 13.082, "vol_a3_per_atom": 23.0, "e_form_ev_per_atom": -0.875, "dos_at_fermi_per_ev_cell": 5.42}

{"formula": "Ho4Er3Au4", "functional": "PBE-GGA", "state": "relaxed", "lattice_angstrom": [[4.821, 0.000, 0.000], [0.000, 7.604, 0.000], [-2.410, -3.802, 7.802]], "species": ["Au", "Ho", "Au", "Au", "Er", "Ho", "Ho", "Au", "Er", "Ho", "Er"], "fractional_positions": [[0.798, 0.298, 0.596], [0.673, 0.889, 0.346], [0.500, 0.189, 0.000], [0.202, 0.702, 0.404], [0.898, 0.898, 0.796], [0.327, 0.111, 0.654], [0.327, 0.543, 0.654], [0.500, 0.811, 0.000], [0.102, 0.102, 0.204], [0.673, 0.457, 0.346], [0.000, 0.500, 0.000]], "mass_density_g_cm3": 11.318, "vol_a3_per_atom": 26.0, "e_form_ev_per_atom": -0.553, "dos_at_fermi_per_ev_cell": 8.42}

{"formula": "HoEr4Au5", "functional": "PBE-GGA", "state": "relaxed", "lattice_angstrom": [[3.544, 0.000, 0.000], [0.000, 3.544, 0.000], [0.000, 0.000, 18.124]], "species": ["Er", "Er", "Au", "Ho", "Au", "Er", "Au", "Er", "Au", "Au"], "fractional_positions": [[0.000, 0.000, 0.400], [0.000, 0.000, 0.201], [0.500, 0.500, 0.500], [0.000, 0.000, 0.000], [0.500, 0.500, 0.101], [0.000, 0.000, 0.799], [0.500, 0.500, 0.300], [0.000, 0.000, 0.600], [0.500, 0.500, 0.899], [0.500, 0.500, 0.700]], "mass_density_g_cm3": 13.270, "vol_a3_per_atom": 22.8, "e_form_ev_per_atom": -0.882, "dos_at_fermi_per_ev_cell": 4.12}

{"formula": "HoEr5Au6", "functional": "PBE-GGA", "state": "relaxed", "lattice_angstrom": [[4.855, 0.001, -1.358], [-3.636, 7.072, -3.667], [-0.177, -1.025, 8.695]], "species": ["Ho", "Au", "Au", "Er", "Er", "Er", "Er", "Au", "Er", "Au", "Au", "Au"], "fractional_positions": [[0.000, 0.000, 0.000], [0.749, 0.916, 0.582], [0.751, 0.251, 0.251], [0.000, 0.333, 0.667], [0.500, 0.500, 0.500], [0.500, 0.833, 0.167], [0.500, 0.167, 0.833], [0.249, 0.749, 0.749], [0.000, 0.667, 0.333], [0.251, 0.084, 0.418], [0.749, 0.582, 0.916], [0.251, 0.418, 0.084]], "mass_density_g_cm3": 13.252, "vol_a3_per_atom": 22.8, "e_form_ev_per_atom": -0.881, "dos_at_fermi_per_ev_cell": 5.34}

{"formula": "HoEr3Au2", "functional": "PBE-GGA", "state": "relaxed", "lattice_angstrom": [[4.925, 0.000, 0.000], [0.000, 7.061, 0.000], [0.000, 0.000, 8.874]], "species": ["Ho", "Er", "Er", "Er", "Er", "Er", "Au", "Au", "Au", "Er", "Ho", "Au"], "fractional_positions": [[0.500, 0.513, 0.573], [0.000, 0.851, 0.670], [0.000, 0.486, 0.927], [0.500, 0.149, 0.830], [0.000, 0.986, 0.073], [0.500, 0.649, 0.170], [0.500, 0.742, 0.849], [0.500, 0.242, 0.151], [0.000, 0.258, 0.652], [0.000, 0.351, 0.330], [0.500, 0.013, 0.427], [0.000, 0.758, 0.348]], "mass_density_g_cm3": 11.413, "vol_a3_per_atom": 25.7, "e_form_ev_per_atom": -0.654, "dos_at_fermi_per_ev_cell": 11.59}

{"formula": "HoErAu", "functional": "PBE-GGA", "state": "relaxed", "lattice_angstrom": [[-0.328, -3.344, -3.619], [4.077, -1.512, -2.342], [1.700, -4.582, 0.710]], "species": ["Au", "Er", "Ho"], "fractional_positions": [[0.250, 0.250, 0.250], [0.000, 0.000, 0.000], [0.500, 0.500, 0.500]], "mass_density_g_cm3": 10.315, "vol_a3_per_atom": 28.4, "e_form_ev_per_atom": -0.465, "dos_at_fermi_per_ev_cell": 3.73}